{"formula": "CdGePt2", "functional": "PBE-GGA", "state": "relaxed", "spacegroup": "F-43m (216)", "final_energy_ev_per_atom": -4.4566, "cell": [[0.0000, 3.2590, 3.2590], [3.2590, 0.0000, 3.2590], [3.2590, 3.2590, 0.0000]], "species": ["Cd", "Pt", "Pt", "Ge"], "frac_coords": [[0.2500, 0.2500, 0.2500], [0.0000, 0.0000, 0.0000], [0.7500, 0.7500, 0.7500], [0.5000, 0.5000, 0.5000]]}